## BaMnOs2Cl (PBE-GGA)

Data for crystalline BaMnOs2Cl at its relaxed geometry.

## Properties
electronic total energy	-6.35	eV per atom
symmetry	P4/mmm (123)
formation energy (no corrections)	0.733	eV/atom
total magnetic moment	1.152	μB per cell

Unit cell a=4.4585 b=4.4585 c=5.8454 alpha=90.00 beta=90.00 gamma=90.00
Fractional positions:
Ba  0.0000  0.0000  0.0000
Mn  0.5000  0.5000  0.5000
Os  0.0000  0.5000  0.5000
Os  0.5000  0.0000  0.5000
Cl  0.5000  0.5000  0.0000

## BaMnPbCl6 (PBE-GGA)

Data for crystalline BaMnPbCl6 at its relaxed geometry.

## Properties
electronic total energy	-4.42	eV per atom
symmetry	P-31c (163)
formation energy (no corrections)	-1.548	eV/atom
total magnetic moment	10.000	μB per cell

Unit cell a=7.2500 b=7.2500 c=12.1468 alpha=90.00 beta=90.00 gamma=120.00
Fractional positions:
Ba  0.3333  0.6667  0.2500
Ba  0.6667  0.3333  0.7500
Mn  0.3333  0.6667  0.7500
Mn  0.6667  0.3333  0.2500
Pb  0.0000  0.0000  0.0000
Pb  0.0000  0.0000  0.5000
Cl  0.0567  0.3701  0.6277
Cl  0.0567  0.6866  0.8723
Cl  0.3134  0.3701  0.8723
Cl  0.3134  0.9433  0.6277
Cl  0.3701  0.0567  0.1277
Cl  0.3701  0.3134  0.3723
Cl  0.6299  0.6866  0.6277
Cl  0.6299  0.9433  0.8723
Cl  0.6866  0.0567  0.3723
Cl  0.6866  0.6299  0.1277
Cl  0.9433  0.3134  0.1277
Cl  0.9433  0.6299  0.3723

## BaMn2PbCl8 (PBE-GGA)

Data for crystalline BaMn2PbCl8 at its relaxed geometry.

## Properties
electronic total energy	-4.62	eV per atom
symmetry	P-3 (147)
formation energy (no corrections)	-1.394	eV/atom
total magnetic moment	10.000	μB per cell

Unit cell a=6.6304 b=6.6304 c=9.6705 alpha=90.00 beta=90.00 gamma=120.00
Fractional positions:
Ba  0.0000  0.0000  0.0000
Mn  0.3333  0.6667  0.7673
Mn  0.6667  0.3333  0.2327
Pb  0.0000  0.0000  0.5000
Cl  0.0000  0.3122  0.7099
Cl  0.0000  0.6878  0.2901
Cl  0.3122  0.0000  0.7099
Cl  0.3122  0.3122  0.2901
Cl  0.3333  0.6667  0.0060
Cl  0.6667  0.3333  0.9940
Cl  0.6878  0.0000  0.2901
Cl  0.6878  0.6878  0.7099